First-principles (PBE) data for a geometry-optimized CsSnAu2Se4 structure, as listed in Alexandria.

Geometry as POSCAR:
```
CsSnAu2Se4
1.0
-4.0745 -4.6383 -3.2172
2.7619 -3.9351 -5.3570
0.2632 -6.8896 2.0673
Au Se Cs Sn
2 4 1 1
direct
0.8519 0.6481 0.6481
0.1481 0.3519 0.3519
0.1251 0.8351 0.4839
0.8749 0.5161 0.1649
0.5559 0.4839 0.8351
0.4441 0.1649 0.5161
0.0000 0.0000 0.0000
0.5000 0.5000 0.5000
```

Properties
* crystal system: orthorhombic
* DOS at the Fermi energy: 7.7 states/eV/f.u.
* total energy: -0.2624 Ry/atom
* spin magnetization: 0.0 Bohr magnetons per cell